--- A ---
{"formula": "TaCoSiPt", "functional": "PBE-GGA", "state": "relaxed", "lattice": [[0.000, 3.068, 3.068], [3.068, 0.000, 3.068], [3.068, 3.068, 0.000]], "species": ["Ta", "Co", "Si", "Pt"], "frac_coords": [[0.000, 0.000, 0.000], [0.750, 0.750, 0.750], [0.500, 0.500, 0.500], [0.250, 0.250, 0.250]], "vol_a3_per_cell": 57.8, "spacegroup": "F-43m", "crystal_system": "cubic", "m_tot_mub_per_cell": 0.23}

--- B ---
{"formula": "TaCoSiPt", "functional": "PBE-GGA", "state": "relaxed", "lattice": [[0.000, 3.063, 3.063], [3.063, 0.000, 3.063], [3.063, 3.063, 0.000]], "species": ["Ta", "Co", "Si", "Pt"], "frac_coords": [[0.000, 0.000, 0.000], [0.500, 0.500, 0.500], [0.250, 0.250, 0.250], [0.750, 0.750, 0.750]], "vol_a3_per_cell": 57.5, "spacegroup": "F-43m", "crystal_system": "cubic", "m_tot_mub_per_cell": 0.43}

The winner here is B, beating the second structure by 29 meV/atom.

--- A ---
{"formula": "CoSnPtW", "functional": "PBE-GGA", "state": "relaxed", "lattice": [[0.000, 3.165, 3.165], [3.165, 0.000, 3.165], [3.165, 3.165, 0.000]], "species": ["Co", "Sn", "Pt", "W"], "frac_coords": [[0.000, 0.000, 0.000], [0.750, 0.750, 0.750], [0.500, 0.500, 0.500], [0.250, 0.250, 0.250]], "vol_a3_per_cell": 63.4, "spacegroup": "F-43m", "crystal_system": "cubic", "m_tot_mub_per_cell": 0.17}

--- B ---
{"formula": "CoSnPtW", "functional": "PBE-GGA", "state": "relaxed", "lattice": [[0.000, 3.154, 3.154], [3.154, 0.000, 3.154], [3.154, 3.154, 0.000]], "species": ["Co", "Sn", "Pt", "W"], "frac_coords": [[0.000, 0.000, 0.000], [0.750, 0.750, 0.750], [0.250, 0.250, 0.250], [0.500, 0.500, 0.500]], "vol_a3_per_cell": 62.7, "spacegroup": "F-43m", "crystal_system": "cubic", "m_tot_mub_per_cell": 0.04}

The winner here is B, beating the second structure by 41 meV/atom.

--- A ---
{"formula": "TaZnCoPt", "functional": "PBE-GGA", "state": "relaxed", "lattice": [[0.000, 3.081, 3.081], [3.081, 0.000, 3.081], [3.081, 3.081, 0.000]], "species": ["Ta", "Zn", "Co", "Pt"], "frac_coords": [[0.000, 0.000, 0.000], [0.500, 0.500, 0.500], [0.750, 0.750, 0.750], [0.250, 0.250, 0.250]], "vol_a3_per_cell": 58.5, "spacegroup": "F-43m", "crystal_system": "cubic", "m_tot_mub_per_cell": 0.11}

--- B ---
{"formula": "TaZnCoPt", "functional": "PBE-GGA", "state": "relaxed", "lattice": [[0.000, 3.094, 3.094], [3.094, 0.000, 3.094], [3.094, 3.094, 0.000]], "species": ["Ta", "Zn", "Co", "Pt"], "frac_coords": [[0.000, 0.000, 0.000], [0.250, 0.250, 0.250], [0.500, 0.500, 0.500], [0.750, 0.750, 0.750]], "vol_a3_per_cell": 59.2, "spacegroup": "F-43m", "crystal_system": "cubic", "m_tot_mub_per_cell": 1.60}

The winner here is A, beating the second structure by 238 meV/atom.